Here is CdCuW2O8 after structural relaxation from Alexandria. Energies are from PBE with a Hubbard U.

Results
VASP energy: -6.308 eV per atom
Fermi-level density of states: 4.77 states/eV/cell

a = 6.070 Å, b = 6.070 Å, c = 6.070 Å
α = 110.19°, β = 110.19°, γ = 108.04°
Each line ends with the local moment (μB).
Fractional coordinates of all 12 atoms:
Cd1 0.000 0.000 0.000  0.00
Cu1 0.250 0.750 0.500  0.65
W1 0.750 0.250 0.500  -0.01
W2 0.500 0.500 0.000  0.02
O1 0.391 0.098 0.293  0.02
O2 0.350 0.564 0.214  0.07
O3 0.350 0.136 0.786  0.07
O4 0.805 0.098 0.707  0.02
O5 0.864 0.650 0.214  0.07
O6 0.902 0.195 0.293  0.02
O7 0.902 0.609 0.707  0.02
O8 0.436 0.650 0.786  0.07